SrLaMn3, optimized geometry, DFT GGA-PBE; ΔE to the lowest computed polymorph = 0 meV/atom; DOS at the Fermi energy = 0.623 states/eV/atom; energy of formation = 5.35 eV/f.u.
1.0
5.2828 0.0000 0.0000
0.0000 5.2828 0.0000
0.0000 0.0000 5.2828
Sr La Mn
1 1 3
Direct
0.0000 0.0000 0.0000
0.5000 0.5000 0.5000
0.0000 0.5000 0.5000
0.5000 0.0000 0.5000
0.5000 0.5000 0.0000